Entry 1:
A relaxed GdZr2C crystal, computed with PBE.

Cell lengths 3.3424, 3.3424, 26.9175 Å; angles 90.00, 90.00, 120.00 degrees
Space group R-3m (No. 166, hexagonal axes)
Inequivalent atoms, fractional coordinates:
Gd  0.0000  0.0000  0.0000 (multiplicity 3)
Zr  0.0000  0.0000  0.1205 (multiplicity 6)
C  0.0000  0.0000  0.5000 (multiplicity 3)

=====

Entry 2:
A relaxed GeC crystal, computed with PBE.

Cell lengths 5.6206, 5.6206, 3.2467 Å; angles 90.00, 90.00, 90.00 degrees
Space group P4_2/mnm (No. 136)
Inequivalent atoms, fractional coordinates:
Ge  0.1786  0.1786  0.0000 (multiplicity 4)
C  0.1814  0.8186  0.0000 (multiplicity 4)

=====

One value per record, in order, for energy of formation: -1.1 1.0 eV/f.u..
One value per record, in order, for electronic total energy: -124.631 -51.165 eV per cell.